[1]
The following is a PBE-GGA calculation of a relaxed HfP2Rh crystal, from Alexandria.

Geometry as CIF:
```
data_HfP2Rh
_symmetry_space_group_name_H-M 'I -4 2 d'
_symmetry_Int_Tables_number 122
_symmetry_space_group_name_Hall 'I -4 2bw'
_cell_length_a 4.252
_cell_length_b 4.252
_cell_length_c 15.534
_cell_angle_alpha 90.00
_cell_angle_beta 90.00
_cell_angle_gamma 90.00
loop_
_atom_site_label
_atom_site_type_symbol
_atom_site_fract_x
_atom_site_fract_y
_atom_site_fract_z
_atom_site_occupancy
Hf1 Hf 0.000 0.000 0.000 1
P1 P 0.190 0.250 0.625 1
Rh1 Rh 0.000 0.000 0.500 1
```

Properties
DFT total energy ... -7.546 eV per atom
DFT formation energy ... -2.059 eV/f.u.
DOS(E_F) ... 9.76 states/eV per cell
Mass density ... 8.1 g cm⁻³
Energy above the most stable polymorph in this dataset ... 31 meV per atom
M_tot ... 0.0 μB per formula unit

***

[2]
The following is a PBE-GGA calculation of a relaxed RbCo2SiTe crystal, from Alexandria.

Geometry as CIF:
```
data_RbCo2SiTe
_symmetry_space_group_name_H-M 'P 4/m m m'
_symmetry_Int_Tables_number 123
_symmetry_space_group_name_Hall '-P 4 2'
_cell_length_a 4.746
_cell_length_b 4.746
_cell_length_c 5.703
_cell_angle_alpha 90.00
_cell_angle_beta 90.00
_cell_angle_gamma 90.00
loop_
_atom_site_label
_atom_site_type_symbol
_atom_site_fract_x
_atom_site_fract_y
_atom_site_fract_z
_atom_site_occupancy
Rb1 Rb 0.000 0.000 0.000 1
Co1 Co 0.000 0.500 0.000 1
Si1 Si 0.000 0.000 0.500 1
Te1 Te 0.500 0.500 0.500 1
```

Properties
DFT total energy ... -2.537 eV per atom
DOS(E_F) ... 6.28 states/eV per cell
Mass density ... 4.6 g cm⁻³
Formation energy (no corrections) ... 11.06 eV per formula unit
M_tot ... 2.8 μB per formula unit

***

[3]
The following is a PBE-GGA calculation of a relaxed TeRhBr2 crystal, from Alexandria.

Geometry as CIF:
```
data_TeRhBr2
_symmetry_space_group_name_H-M 'C m m m'
_symmetry_Int_Tables_number 65
_symmetry_space_group_name_Hall '-C 2 2'
_cell_length_a 6.855
_cell_length_b 8.107
_cell_length_c 3.330
_cell_angle_alpha 90.00
_cell_angle_beta 90.00
_cell_angle_gamma 90.00
loop_
_atom_site_label
_atom_site_type_symbol
_atom_site_fract_x
_atom_site_fract_y
_atom_site_fract_z
_atom_site_occupancy
Te1 Te 0.000 0.000 0.000 1
Rh1 Rh 0.000 0.500 0.000 1
Br1 Br 0.250 0.250 0.500 1
```

Properties
DFT total energy ... -2.730 eV per atom
DOS(E_F) ... 7.29 states/eV per cell
Mass density ... 7.0 g cm⁻³
Formation energy (no corrections) ... 2.92 eV per formula unit
M_tot ... 1.7 μB per formula unit

***

[4]
The following is a PBE-GGA calculation of a relaxed LiTbGe2Pd4 crystal, from Alexandria.

Geometry as CIF:
```
data_LiTbGe2Pd4
_symmetry_space_group_name_H-M 'R -3 m'
_symmetry_Int_Tables_number 166
_symmetry_space_group_name_Hall '-R 3 2"'
_cell_length_a 4.3257
_cell_length_b 4.3257
_cell_length_c 24.5613
_cell_angle_alpha 90.00
_cell_angle_beta 90.00
_cell_angle_gamma 120.00
loop_
_atom_site_label
_atom_site_type_symbol
_atom_site_fract_x
_atom_site_fract_y
_atom_site_fract_z
_atom_site_occupancy
Li1 Li 0.0000 0.0000 0.0000 1
Tb1 Tb 0.0000 0.0000 0.5000 1
Ge1 Ge 0.0000 0.0000 0.2590 1
Pd1 Pd 0.0000 0.0000 0.0996 1
Pd2 Pd 0.0000 0.0000 0.3680 1
```

Properties
DFT total energy ... -5.247 eV per atom
DFT formation energy ... -5.430 eV/f.u.
DOS(E_F) ... 18.25 states/eV per cell
Mass density ... 9.2 g cm⁻³
M_tot ... 0.0 μB per formula unit

***

[5]
The following is a PBE-GGA calculation of a relaxed YPa5S6 crystal, from Alexandria.

Geometry as CIF:
```
data_YPa5S6
_symmetry_space_group_name_H-M 'C 1 2/m 1'
_symmetry_Int_Tables_number 12
_symmetry_space_group_name_Hall '-C 2y'
_cell_length_a 6.585
_cell_length_b 11.811
_cell_length_c 6.867
_cell_angle_alpha 90.00
_cell_angle_beta 110.02
_cell_angle_gamma 90.00
loop_
_atom_site_label
_atom_site_type_symbol
_atom_site_fract_x
_atom_site_fract_y
_atom_site_fract_z
_atom_site_occupancy
Y1 Y 0.000 0.000 0.000 1
Pa1 Pa 0.000 0.165 0.500 1
Pa2 Pa 0.000 0.332 0.000 1
Pa3 Pa 0.000 0.500 0.500 1
S1 S 0.249 0.500 0.247 1
S2 S 0.250 0.166 0.249 1
```

Properties
DFT total energy ... -8.216 eV per atom
DOS(E_F) ... 35.65 states/eV per cell
Mass density ... 9.5 g cm⁻³
Formation energy (no corrections) ... -19.89 eV per formula unit
M_tot ... 0.0 μB per formula unit

***

[6]
The following is a PBE-GGA calculation of a relaxed TmPu2FeN4 crystal, from Alexandria.

Geometry as CIF:
```
data_TmPu2FeN4
_symmetry_space_group_name_H-M 'C m c m'
_symmetry_Int_Tables_number 63
_symmetry_space_group_name_Hall '-C 2c 2'
_cell_length_a 3.354
_cell_length_b 11.189
_cell_length_c 11.375
_cell_angle_alpha 90.00
_cell_angle_beta 90.00
_cell_angle_gamma 90.00
loop_
_atom_site_label
_atom_site_type_symbol
_atom_site_fract_x
_atom_site_fract_y
_atom_site_fract_z
_atom_site_occupancy
Tm1 Tm 0.000 0.107 0.250 1
Pu1 Pu 0.000 0.369 0.057 1
Fe1 Fe 0.000 0.158 0.750 1
N1 N 0.000 0.000 0.000 1
N2 N 0.000 0.271 0.618 1
N3 N 0.000 0.457 0.250 1
```

Properties
DFT total energy ... -10.409 eV per atom
DOS(E_F) ... 36.77 states/eV per cell
Mass density ... 12.0 g cm⁻³
Formation energy (no corrections) ... -8.37 eV per formula unit
M_tot ... 5.0 μB per formula unit